(1)
# PBE-GGA Cr7Br6, relaxed
data_Cr7Br6
_chemical_formula_sum 'Cr21 Br18'
_cell_length_a 6.2489
_cell_length_b 6.2489
_cell_length_c 28.8652
_cell_angle_alpha 90.00
_cell_angle_beta 90.00
_cell_angle_gamma 120.00
_symmetry_space_group_name_H-M 'R -3 m'
_symmetry_Int_Tables_number 166
_symmetry_space_group_name_Hall '-R 3 2"'
loop_
_atom_site_label
_atom_site_fract_x
_atom_site_fract_y
_atom_site_fract_z
Cr1 0.0000 0.0000 0.0000
Cr2 0.0240 0.5120 0.5897
Br1 0.0000 0.0000 0.1457
Br2 0.0000 0.0000 0.3111
Br3 0.0000 0.0000 0.4289
# Final energy, eV/atom: -5.700

***

(2)
# PBE-GGA Dy2YHoTl2, relaxed
data_Dy2YHoTl2
_chemical_formula_sum 'Dy4 Y2 Ho2 Tl4'
_cell_length_a 5.0811
_cell_length_b 9.9418
_cell_length_c 6.8509
_cell_angle_alpha 90.00
_cell_angle_beta 90.00
_cell_angle_gamma 90.00
_symmetry_space_group_name_H-M 'P m c 21'
_symmetry_Int_Tables_number 26
_symmetry_space_group_name_Hall 'P 2c -2'
loop_
_atom_site_label
_atom_site_fract_x
_atom_site_fract_y
_atom_site_fract_z
Dy1 0.0000 0.0440 0.0000
Dy2 0.5000 0.1873 0.2829
Y1 0.5000 0.4557 0.9053
Ho1 0.0000 0.3114 0.6220
Tl1 0.0000 0.3685 0.1627
Tl2 0.5000 0.1334 0.7446
# ΔE_f, eV per atom: -0.277

***

(3)
# PBE-GGA Tm2Si9Rh3, relaxed
data_Tm2Si9Rh3
_chemical_formula_sum 'Tm8 Si36 Rh12'
_cell_length_a 12.8074
_cell_length_b 6.8505
_cell_length_c 11.1392
_cell_angle_alpha 90.00
_cell_angle_beta 113.56
_cell_angle_gamma 90.00
_symmetry_space_group_name_H-M 'C 1 2/c 1'
_symmetry_Int_Tables_number 15
_symmetry_space_group_name_Hall '-C 2yc'
loop_
_atom_site_label
_atom_site_fract_x
_atom_site_fract_y
_atom_site_fract_z
Tm1 0.1650 0.0766 0.2526
Si1 0.0000 0.4235 0.2500
Si2 0.0466 0.1149 0.9223
Si3 0.1076 0.4377 0.0643
Si4 0.1236 0.3235 0.7532
Si5 0.2366 0.4038 0.4338
Rh1 0.0603 0.2444 0.4472
Rh2 0.2500 0.2500 0.0000
# Final energy, eV/atom: -6.174

***

(4)
# PBE-GGA Y2AsH, relaxed
data_Y2AsH
_chemical_formula_sum 'Y8 As4 H4'
_cell_length_a 6.8068
_cell_length_b 6.8068
_cell_length_c 6.8977
_cell_angle_alpha 90.00
_cell_angle_beta 90.00
_cell_angle_gamma 90.00
_symmetry_space_group_name_H-M 'I -4 2 d'
_symmetry_Int_Tables_number 122
_symmetry_space_group_name_Hall 'I -4 2bw'
loop_
_atom_site_label
_atom_site_fract_x
_atom_site_fract_y
_atom_site_fract_z
Y1 0.1836 0.2500 0.1250
As1 0.0000 0.0000 0.5000
H1 0.0000 0.0000 0.0000
# Final energy, eV/atom: -6.089

***

| no. | total magnetic moment (μB/f.u.) |
| --- | --- |
| 1 | 22.00 |
| 2 | 0.00 |
| 3 | 0.00 |
| 4 | 0.00 |